1.
P3Cl: relaxed, PBE.

Cell: 3.8093 3.8093 7.2053 Å, 90.00 90.00 128.14°
Atoms (fractional coordinates):
Cl  0.0000  0.0000  0.0000
P  0.5000  0.5000  0.7100
P  0.0000  0.0000  0.5000
P  0.5000  0.5000  0.2900

Values from the calculation:
M_tot: 0.0000 μB per atom
DOS at the Fermi energy: 1.70 states/eV/f.u.
SG: Cmmm, No. 65
energy relative to the lowest polymorph listed for this composition: 0.250 eV per atom

2.
PmVN2: relaxed, PBE.

Cell: 3.2105 3.2105 5.6835 Å, 73.59 73.59 60.00°
Atoms (fractional coordinates):
N  0.2668  0.2668  0.1995
N  0.7332  0.7332  0.8005
V  0.0000  0.0000  0.0000
Pm  0.5000  0.5000  0.5000

Values from the calculation:
M_tot: 0.0003 μB per atom
DOS at the Fermi energy: 2.17 states/eV/f.u.
SG: R-3m, No. 166
energy relative to the lowest polymorph listed for this composition: 0.250 eV per atom

Calculated E_form (uncorrected), 0.467 -1.018 eV/atom (same order as the records).